# PBE Ag2Pd3Au3, optimized geometry
data_Ag2Pd3Au3
_cell_length_a 3.9999
_cell_length_b 4.1272
_cell_length_c 16.3963
_cell_angle_alpha 90.00
_cell_angle_beta 90.00
_cell_angle_gamma 90.00
_space_group_name_H-M_alt 'I m m m'
_space_group_IT_number 71
_space_group_name_Hall '-I 2 2'
loop_
_atom_site_label
_atom_site_fract_x
_atom_site_fract_y
_atom_site_fract_z
Ag1 0.0000 0.0000 0.2505
Pd1 0.0000 0.0000 0.0000
Pd2 0.0000 0.5000 0.1240
Au1 0.0000 0.0000 0.5000
Au2 0.0000 0.5000 0.3758
# **DFT formation energy**: -0.081 eV per atom
# **ΔE to the lowest computed polymorph**: 0.000 eV per atom
# **Crystal system**: orthorhombic